1.
YHgBr: optimized geometry, PBE.

The value obtained for the density of states at the Fermi level is 0.40 states/eV per atom. The calculation puts the energy above the most stable polymorph in this dataset at 0 meV/atom. The uncorrected formation energy comes out at -0.91 eV/atom. Its uncorrected energy is -3.725 eV per atom. The total magnetic moment comes out at 0.13 μB/f.u.

CIF file:
```
data_YHgBr
_chemical_formula_sum 'Y4 Hg4 Br4'
_space_group_name_H-M_alt 'A m m 2'
_space_group_IT_number 38
_space_group_name_Hall 'A 2 -2'
_cell_length_a 15.617
_cell_length_b 3.798
_cell_length_c 6.578
_cell_angle_alpha 90.00
_cell_angle_beta 90.00
_cell_angle_gamma 90.00
loop_
_atom_site_label
_atom_site_type_symbol
_atom_site_fract_x
_atom_site_fract_y
_atom_site_fract_z
Y1 Y 0.142 0.000 0.000
Hg1 Hg 0.000 0.000 0.667
Hg2 Hg 0.500 0.000 0.995
Br1 Br 0.267 0.000 0.666
```

2.
YHg3Br: optimized geometry, PBE.

The value obtained for the density of states at the Fermi level is 1.28 states/eV per atom. The calculation puts the energy above the most stable polymorph in this dataset at 441 meV/atom. The uncorrected formation energy comes out at 0.51 eV/atom. Its uncorrected energy is -1.296 eV per atom. The total magnetic moment comes out at 0.00 μB/f.u.

CIF file:
```
data_YHg3Br
_chemical_formula_sum 'Y1 Hg3 Br1'
_space_group_name_H-M_alt 'P m -3 m'
_space_group_IT_number 221
_space_group_name_Hall '-P 4 2 3'
_cell_length_a 5.616
_cell_length_b 5.616
_cell_length_c 5.616
_cell_angle_alpha 90.00
_cell_angle_beta 90.00
_cell_angle_gamma 90.00
loop_
_atom_site_label
_atom_site_type_symbol
_atom_site_fract_x
_atom_site_fract_y
_atom_site_fract_z
Y1 Y 0.000 0.000 0.000
Hg1 Hg 0.000 0.500 0.500
Br1 Br 0.500 0.500 0.500
```